1.
{"formula": "SrLiBr2", "functional": "GGA-PBE", "state": "relaxed", "lattice_angstrom": [[3.969, 0.000, 0.000], [0.000, 3.969, 0.000], [0.000, 0.000, 7.787]], "species": ["Sr", "Li", "Br", "Br"], "fractional_positions": [[0.000, 0.000, 0.000], [0.500, 0.500, 0.572], [0.000, 0.000, 0.609], [0.500, 0.500, 0.230]], "energy_ev_per_atom": -3.095, "formation_energy_uncorrected_mev_per_atom": -1359, "dos_at_fermi_per_ev_fu": 1.43}

2.
{"formula": "Sr2LiBr", "functional": "GGA-PBE", "state": "relaxed", "lattice_angstrom": [[2.127, 1.228, 9.690], [-2.127, 1.228, 9.690], [0.000, -2.456, 9.690]], "species": ["Sr", "Sr", "Li", "Br"], "fractional_positions": [[0.000, 0.000, 0.000], [0.164, 0.164, 0.164], [0.582, 0.582, 0.582], [0.414, 0.414, 0.414]], "energy_ev_per_atom": -2.388, "formation_energy_uncorrected_mev_per_atom": -650, "dos_at_fermi_per_ev_fu": 1.91}

3.
{"formula": "SrLiBr2", "functional": "GGA-PBE", "state": "relaxed", "lattice_angstrom": [[3.971, 0.000, 0.000], [0.000, 5.155, 0.000], [0.000, 0.000, 5.177]], "species": ["Sr", "Li", "Br", "Br"], "fractional_positions": [[0.000, 0.000, 0.000], [0.000, 0.500, 0.500], [0.500, 0.000, 0.500], [0.500, 0.500, 0.000]], "energy_ev_per_atom": -2.983, "formation_energy_uncorrected_mev_per_atom": -1248, "dos_at_fermi_per_ev_fu": 1.74}